The following is a DFT calculation (GGA-PBE) of a geometry-optimized CaZn structure.

## Properties
raw total energy: -1.6373 eV per atom
energy of formation: 0.00 eV per atom
V: 29.29 A^3/atom

Cell lengths 11.225, 11.225, 3.720 Å; angles 90.00, 90.00, 90.00 degrees
Element x y z (fractional)
Ca (0.347, 0.141, 0.000)
Ca (0.653, 0.859, 0.000)
Ca (0.859, 0.347, 0.000)
Ca (0.141, 0.653, 0.000)
Ca (0.847, 0.641, 0.500)
Ca (0.153, 0.359, 0.500)
Ca (0.359, 0.847, 0.500)
Ca (0.641, 0.153, 0.500)
Zn (0.149, 0.938, 0.000)
Zn (0.851, 0.062, 0.000)
Zn (0.062, 0.149, 0.000)
Zn (0.938, 0.851, 0.000)
Zn (0.649, 0.438, 0.500)
Zn (0.351, 0.562, 0.500)
Zn (0.562, 0.649, 0.500)
Zn (0.438, 0.351, 0.500)

=====

The following is a DFT calculation (GGA-PBE) of a geometry-optimized LaPrDyEr structure.

## Properties
raw total energy: -4.6188 eV per atom
energy of formation: 0.10 eV per atom
V: 34.02 A^3/atom

Cell lengths 3.820, 5.946, 6.979 Å; angles 115.21, 73.42, 90.00 degrees
Element x y z (fractional)
La (0.383, 0.135, 0.271)
Pr (0.695, 0.403, 0.805)
Dy (0.198, 0.881, 0.762)
Er (0.909, 0.646, 0.291)

=====

The following is a DFT calculation (GGA-PBE) of a geometry-optimized Ho4CS2N structure.

## Properties
raw total energy: -7.1286 eV per atom
V: 18.02 A^3/atom

Cell lengths 3.653, 6.316, 6.593 Å; angles 108.63, 90.00, 90.00 degrees
Element x y z (fractional)
Ho (0.500, 0.238, 0.211)
Ho (0.500, 0.762, 0.789)
Ho (0.000, 0.263, 0.787)
Ho (0.000, 0.737, 0.213)
C (0.500, 0.500, 0.000)
S (0.500, 0.000, 0.500)
S (0.000, 0.500, 0.500)
N (0.000, 0.000, 0.000)

=====

Taking the records one at a time from the top gives spin magnetization values of 0.00 0.00 0.00 μB/cell.